Below is a relaxed structure of K2Rh, with properties calculated at the PBE-GGA level.

Cell: 5.577 5.577 3.005 Å, 90.00 90.00 120.00°
Positions (direct):
K (0.333, 0.667, 0.004)
K (0.667, 0.333, 0.996)
Rh (0.000, 0.000, 0.500)

## Properties
energy of formation: 0.65 eV/atom
mass density: 3.72 Mg/m³
energy above the lowest structure with this stoichiometry: 0.887 eV/f.u.